[1]
Below is a relaxed Er4Cu2Bi crystal, with properties calculated at the GGA-PBE level.

Output
The density of states at the Fermi level is 13.47 states/eV per cell. Its formation energy is -29.9 kJ/mol of atoms. The crystal system is triclinic. The final energy comes out at -64.98 eV for the cell shown.

Geometry as CIF:
```
data_Er4Cu2Bi
_chemical_formula_sum 'Er8 Cu4 Bi2'
_cell_length_a 6.637
_cell_length_b 7.840
_cell_length_c 8.062
_cell_angle_alpha 108.40
_cell_angle_beta 106.58
_cell_angle_gamma 106.83
_space_group_name_H-M_alt 'P 1'
_space_group_IT_number 1
loop_
_space_group_symop_operation_xyz
'x,y,z'
loop_
_atom_site_label
_atom_site_fract_x
_atom_site_fract_y
_atom_site_fract_z
Er1 0.000 0.000 0.000
Er2 0.000 0.293 0.409
Er3 0.288 0.376 0.854
Er4 0.296 0.780 0.652
Er5 0.437 0.837 0.196
Er6 0.550 0.462 0.413
Er7 0.697 0.249 0.716
Er8 0.882 0.653 0.174
Cu1 0.021 0.615 0.829
Cu2 0.150 0.446 0.159
Cu3 0.245 0.056 0.412
Cu4 0.618 0.619 0.799
Bi1 0.569 0.166 0.041
Bi2 0.880 0.930 0.564
```

[2]
Below is a relaxed LiCaRu2 crystal, with properties calculated at the GGA-PBE level.

Output
The density of states at the Fermi level is 7.86 states/eV per cell. Its formation energy is 37.1 kJ/mol of atoms. As for the offset from the most stable computed form: 144 meV/atom. The crystal system is monoclinic. The final energy comes out at -41.86 eV for the cell shown.

Geometry as CIF:
```
data_LiCaRu2
_chemical_formula_sum 'Li2 Ca2 Ru4'
_cell_length_a 5.359
_cell_length_b 9.518
_cell_length_c 2.803
_cell_angle_alpha 90.00
_cell_angle_beta 115.23
_cell_angle_gamma 90.00
_space_group_name_H-M_alt 'C 1 2/m 1'
_space_group_IT_number 12
loop_
_space_group_symop_operation_xyz
'x,y,z'
'-x,-y,-z'
'-x,y,-z'
'x,-y,z'
'x+1/2,y+1/2,z'
'-x+1/2,-y+1/2,-z'
'-x+1/2,y+1/2,-z'
'x+1/2,-y+1/2,z'
loop_
_atom_site_label
_atom_site_fract_x
_atom_site_fract_y
_atom_site_fract_z
Li1 0.000 0.000 0.000
Ca1 0.000 0.500 0.000
Ru1 0.250 0.250 0.500
```

[3]
Below is a relaxed Li2Tm2BPt4 crystal, with properties calculated at the GGA-PBE level.

Output
The density of states at the Fermi level is 7.10 states/eV per cell. Its formation energy is -82.7 kJ/mol of atoms. The crystal system is tetragonal. The final energy comes out at -102.65 eV for the cell shown.

Geometry as CIF:
```
data_Li2Tm2BPt4
_chemical_formula_sum 'Li4 Tm4 B2 Pt8'
_cell_length_a 6.066
_cell_length_b 6.066
_cell_length_c 7.969
_cell_angle_alpha 90.00
_cell_angle_beta 90.00
_cell_angle_gamma 90.00
_space_group_name_H-M_alt 'I 4/m m m'
_space_group_IT_number 139
_space_group_name_Hall '-I 4 2'
loop_
_atom_site_label
_atom_site_fract_x
_atom_site_fract_y
_atom_site_fract_z
Li1 0.000 0.000 0.202
Tm1 0.000 0.500 0.250
B1 0.000 0.000 0.500
Pt1 0.247 0.247 0.500
```

[4]
Below is a relaxed Tb2TmAg3 crystal, with properties calculated at the GGA-PBE level.

Output
The density of states at the Fermi level is 2.94 states/eV per cell. Its formation energy is -31.3 kJ/mol of atoms. The crystal system is tetragonal. The final energy comes out at -24.23 eV for the cell shown.

Geometry as CIF:
```
data_Tb2TmAg3
_chemical_formula_sum 'Tb2 Tm1 Ag3'
_cell_length_a 3.612
_cell_length_b 3.612
_cell_length_c 10.994
_cell_angle_alpha 90.00
_cell_angle_beta 90.00
_cell_angle_gamma 90.00
_space_group_name_H-M_alt 'P 4/m m m'
_space_group_IT_number 123
_space_group_name_Hall '-P 4 2'
loop_
_atom_site_label
_atom_site_fract_x
_atom_site_fract_y
_atom_site_fract_z
Tb1 0.000 0.000 0.169
Tm1 0.000 0.000 0.500
Ag1 0.500 0.500 0.000
Ag2 0.500 0.500 0.340
```

[5]
Below is a relaxed ScNbSeO2 crystal, with properties calculated at the GGA-PBE level.

Output
The density of states at the Fermi level is 0.98 states/eV per cell. The calculation puts the energy relative to the elements, uncorrected at -1650.1 meV/atom. The crystal system is tetragonal. The final energy comes out at -38.05 eV for the cell shown.

Geometry as CIF:
```
data_ScNbSeO2
_chemical_formula_sum 'Sc1 Nb1 Se1 O2'
_cell_length_a 3.888
_cell_length_b 3.888
_cell_length_c 6.554
_cell_angle_alpha 90.00
_cell_angle_beta 90.00
_cell_angle_gamma 90.00
_space_group_name_H-M_alt 'P 4/m m m'
_space_group_IT_number 123
_space_group_name_Hall '-P 4 2'
loop_
_atom_site_label
_atom_site_fract_x
_atom_site_fract_y
_atom_site_fract_z
Sc1 0.000 0.000 0.000
Nb1 0.000 0.000 0.500
Se1 0.500 0.500 0.000
O1 0.000 0.500 0.500
```

[6]
Below is a relaxed CdRu2Br2 crystal, with properties calculated at the GGA-PBE level.

Output
The density of states at the Fermi level is 6.50 states/eV per cell. The calculation puts the energy relative to the elements, uncorrected at 725.0 meV/atom. As for the offset from the most stable computed form: 0 meV/atom. The crystal system is tetragonal. The final energy comes out at -38.37 eV for the cell shown.

Geometry as CIF:
```
data_CdRu2Br2
_chemical_formula_sum 'Cd2 Ru4 Br4'
_cell_length_a 4.302
_cell_length_b 4.302
_cell_length_c 11.116
_cell_angle_alpha 90.00
_cell_angle_beta 90.00
_cell_angle_gamma 90.00
_space_group_name_H-M_alt 'I 4/m m m'
_space_group_IT_number 139
_space_group_name_Hall '-I 4 2'
loop_
_atom_site_label
_atom_site_fract_x
_atom_site_fract_y
_atom_site_fract_z
Cd1 0.000 0.000 0.000
Ru1 0.000 0.000 0.395
Br1 0.000 0.500 0.250
```

[7]
Below is a relaxed LaH2S crystal, with properties calculated at the GGA-PBE level.

Output
The density of states at the Fermi level is 1.32 states/eV per cell. As for the offset from the most stable computed form: 14 meV/atom. The crystal system is triclinic. The final energy comes out at -19.17 eV for the cell shown.

Geometry as CIF:
```
data_LaH2S
_chemical_formula_sum 'La1 H2 S1'
_cell_length_a 3.987
_cell_length_b 3.988
_cell_length_c 4.373
_cell_angle_alpha 108.41
_cell_angle_beta 108.63
_cell_angle_gamma 91.80
_space_group_name_H-M_alt 'P 1'
_space_group_IT_number 1
loop_
_space_group_symop_operation_xyz
'x,y,z'
loop_
_atom_site_label
_atom_site_fract_x
_atom_site_fract_y
_atom_site_fract_z
La1 0.000 0.000 0.000
H1 0.720 0.865 0.377
H2 0.868 0.719 0.379
S1 0.400 0.401 0.748
```

[8]
Below is a relaxed YInCl2 crystal, with properties calculated at the GGA-PBE level.

Output
The density of states at the Fermi level is 0.82 states/eV per cell. The calculation puts the energy relative to the elements, uncorrected at -1050.7 meV/atom. As for the offset from the most stable computed form: 241 meV/atom. The crystal system is orthorhombic. The final energy comes out at -17.10 eV for the cell shown.

Geometry as CIF:
```
data_YInCl2
_chemical_formula_sum 'Y1 In1 Cl2'
_cell_length_a 3.590
_cell_length_b 4.651
_cell_length_c 5.829
_cell_angle_alpha 90.00
_cell_angle_beta 90.00
_cell_angle_gamma 90.00
_space_group_name_H-M_alt 'P m m m'
_space_group_IT_number 47
loop_
_space_group_symop_operation_xyz
'x,y,z'
'-x,-y,-z'
'-x,-y,z'
'x,y,-z'
'x,-y,-z'
'-x,y,z'
'-x,y,-z'
'x,-y,z'
loop_
_atom_site_label
_atom_site_fract_x
_atom_site_fract_y
_atom_site_fract_z
Y1 0.000 0.000 0.000
In1 0.500 0.000 0.500
Cl1 0.000 0.500 0.500
Cl2 0.500 0.500 0.000
```

[9]
Below is a relaxed LiEr2Tl8 crystal, with properties calculated at the GGA-PBE level.

Output
The density of states at the Fermi level is 4.14 states/eV per cell. Its formation energy is -15.2 kJ/mol of atoms. The crystal system is tetragonal. The final energy comes out at -31.71 eV for the cell shown.

Geometry as CIF:
```
data_LiEr2Tl8
_chemical_formula_sum 'Li1 Er2 Tl8'
_cell_length_a 4.844
_cell_length_b 4.844
_cell_length_c 12.421
_cell_angle_alpha 90.00
_cell_angle_beta 90.00
_cell_angle_gamma 90.00
_space_group_name_H-M_alt 'P 4/m m m'
_space_group_IT_number 123
_space_group_name_Hall '-P 4 2'
loop_
_atom_site_label
_atom_site_fract_x
_atom_site_fract_y
_atom_site_fract_z
Li1 0.000 0.000 0.000
Er1 0.000 0.000 0.315
Tl1 0.000 0.500 0.131
Tl2 0.000 0.500 0.500
Tl3 0.500 0.500 0.313
```

The highest final energy belongs to which entry?
YInCl2